(A)
## Mg4Zn8Se (PBE-GGA)

Data for a relaxed structure of Mg4Zn8Se.

Cell lengths 6.9944, 6.9944, 6.9944 Å; angles 111.02, 111.02, 106.42 degrees
Fractional coordinates of all 13 atoms:
Zn 0.6647 0.0000 0.6647
Zn 0.7240 0.5000 0.2240
Zn 0.5000 0.2760 0.7760
Zn 0.5000 0.7240 0.2240
Zn 0.3353 0.0000 0.3353
Zn 0.2760 0.5000 0.7760
Zn 0.0000 0.6647 0.6647
Zn 0.0000 0.3353 0.3353
Mg 0.5000 0.0000 0.0000
Mg 0.0000 0.5000 0.0000
Mg 0.5000 0.5000 0.5000
Mg 0.0000 0.0000 0.5000
Se 0.0000 0.0000 0.0000

Results
ρ: 4.42 g/cm³
M_tot: 0.00 μB per cell

---

(B)
## Mg4Zn8Se (PBE-GGA)

Data for a relaxed structure of Mg4Zn8Se.

Cell lengths 8.5207, 8.5207, 8.5207 Å; angles 92.19, 92.19, 157.46 degrees
Fractional coordinates of all 13 atoms:
Zn 0.9861 0.3718 0.3579
Zn 0.6746 0.2065 0.8812
Zn 0.3254 0.7935 0.1188
Zn 0.0139 0.6282 0.6421
Zn 0.6282 0.9861 0.6143
Zn 0.7935 0.6746 0.4681
Zn 0.2065 0.3254 0.5319
Zn 0.3718 0.0139 0.3857
Se 0.0000 0.0000 0.0000
Mg 0.5523 0.6886 0.2409
Mg 0.6886 0.4477 0.1363
Mg 0.4477 0.3114 0.7591
Mg 0.3114 0.5523 0.8637

Results
ρ: 4.99 g/cm³
M_tot: 0.00 μB per cell

---

Of them, (B) has the highest stability.

---

(A)
## Mg6ZnSe6 (PBE-GGA)

Data for a relaxed structure of Mg6ZnSe6.

Cell lengths 6.6262, 6.6262, 7.8802 Å; angles 90.00, 90.00, 120.00 degrees
Fractional coordinates of all 13 atoms:
Se 0.3333 0.6667 0.0000
Se 0.6667 0.3333 0.5000
Se 0.6667 0.3333 0.0000
Se 0.0000 0.0000 0.7139
Se 0.3333 0.6667 0.5000
Se 0.0000 0.0000 0.2861
Mg 0.5000 0.0000 0.7447
Mg 0.5000 0.5000 0.7447
Mg 0.5000 0.5000 0.2553
Mg 0.0000 0.5000 0.2553
Mg 0.5000 0.0000 0.2553
Mg 0.0000 0.5000 0.7447
Zn 0.0000 0.0000 0.0000

Results
ρ: 3.80 g/cm³
M_tot: 0.00 μB per cell

---

(B)
## Mg6ZnSe6 (PBE-GGA)

Data for a relaxed structure of Mg6ZnSe6.

Cell lengths 7.3432, 6.5572, 7.7537 Å; angles 90.00, 90.00, 124.05 degrees
Fractional coordinates of all 13 atoms:
Se 0.0000 0.5000 0.2492
Se 0.5000 0.0000 0.2509
Se 0.0000 0.5000 0.7508
Se 0.5000 0.5000 0.2492
Se 0.5000 0.0000 0.7491
Se 0.5000 0.5000 0.7508
Mg 0.6790 0.3580 0.0000
Mg 0.0000 0.0000 0.6738
Mg 0.6813 0.3626 0.5000
Mg 0.3187 0.6374 0.5000
Mg 0.0000 0.0000 0.3262
Mg 0.3210 0.6420 0.0000
Zn 0.0000 0.0000 0.0000

Results
ρ: 3.68 g/cm³
M_tot: 0.00 μB per cell

---

Of them, (A) has the highest stability.

---

(A)
## Mg2Zn3Se (PBE-GGA)

Data for a relaxed structure of Mg2Zn3Se.

Cell lengths 4.1817, 4.1817, 15.5663 Å; angles 90.00, 90.00, 120.00 degrees
Fractional coordinates of all 12 atoms:
Mg 0.6667 0.3333 0.1482
Mg 0.3333 0.6667 0.8518
Mg 0.3333 0.6667 0.6482
Mg 0.6667 0.3333 0.3518
Se 0.0000 0.0000 0.2500
Se 0.0000 0.0000 0.7500
Zn 0.6667 0.3333 0.5366
Zn 0.3333 0.6667 0.0366
Zn 0.0000 0.0000 0.0000
Zn 0.0000 0.0000 0.5000
Zn 0.6667 0.3333 0.9634
Zn 0.3333 0.6667 0.4634

Results
ρ: 4.56 g/cm³
M_tot: 0.00 μB per cell

---

(B)
## Mg2Zn3Se (PBE-GGA)

Data for a relaxed structure of Mg2Zn3Se.

Cell lengths 4.8890, 4.8890, 12.0873 Å; angles 90.00, 90.00, 120.00 degrees
Fractional coordinates of all 12 atoms:
Se 0.0000 0.0000 0.5000
Se 0.0000 0.0000 0.0000
Zn 0.3329 0.1664 0.7500
Zn 0.8336 0.1664 0.7500
Zn 0.8336 0.6671 0.7500
Zn 0.1664 0.8336 0.2500
Zn 0.6671 0.8336 0.2500
Zn 0.1664 0.3329 0.2500
Mg 0.3333 0.6667 0.6112
Mg 0.3333 0.6667 0.8888
Mg 0.6667 0.3333 0.1112
Mg 0.6667 0.3333 0.3888

Results
ρ: 4.30 g/cm³
M_tot: 0.00 μB per cell

---

Of them, (A) has the highest stability.

---

(A)
## Mg5Si9 (PBE-GGA)

Data for a relaxed structure of Mg5Si9.

Cell lengths 6.5626, 7.8265, 12.8596 Å; angles 77.80, 71.17, 61.03 degrees
Fractional coordinates of all 28 atoms:
Si 0.9600 0.0166 0.3271
Si 0.7551 0.2925 0.2125
Si 0.1122 0.7670 0.8752
Si 0.5358 0.3066 0.0339
Si 0.1643 0.4512 0.9636
Si 0.6898 0.8811 0.3694
Si 0.9190 0.3426 0.5789
Si 0.3766 0.4768 0.3331
Si 0.7391 0.9577 0.0090
Si 0.9628 0.4862 0.1505
Si 0.6772 0.8164 0.1963
Si 0.2332 0.2416 0.6698
Si 0.5940 0.9336 0.6696
Si 0.2080 0.5513 0.6978
Si 0.3257 0.7748 0.2277
Si 0.5281 0.7054 0.8193
Si 0.5884 0.4085 0.7437
Si 0.3302 0.2756 0.2243
Mg 0.9184 0.4962 0.3659
Mg 0.5198 0.7086 0.5672
Mg 0.6141 0.2506 0.5007
Mg 0.9601 0.9880 0.6930
Mg 0.4577 0.1027 0.8657
Mg 0.9118 0.3489 0.8668
Mg 0.0295 0.7020 0.5144
Mg 0.0670 0.9894 0.0762
Mg 0.6033 0.6587 0.0210
Mg 0.2187 0.0691 0.4271

Results
ρ: 2.28 g/cm³
M_tot: 0.00 μB per cell

---

(B)
## Mg5Si9 (PBE-GGA)

Data for a relaxed structure of Mg5Si9.

Cell lengths 6.4785, 6.8277, 13.3821 Å; angles 74.92, 103.14, 111.46 degrees
Fractional coordinates of all 28 atoms:
Si 0.1814 0.6991 0.0026
Si 0.4802 0.1836 0.5651
Si 0.6763 0.9046 0.9445
Si 0.1474 0.8471 0.8195
Si 0.7971 0.8700 0.2474
Si 0.1596 0.1824 0.1480
Si 0.9252 0.0693 0.8194
Si 0.8458 0.3858 0.0135
Si 0.0061 0.6342 0.2492
Si 0.8098 0.3281 0.6851
Si 0.8464 0.9962 0.4032
Si 0.1272 0.4754 0.5944
Si 0.5964 0.5551 0.8962
Si 0.8514 0.2739 0.2038
Si 0.4699 0.1341 0.2783
Si 0.9952 0.8594 0.0771
Si 0.7925 0.6349 0.7444
Si 0.4304 0.7570 0.3224
Mg 0.1763 0.3484 0.9343
Mg 0.5837 0.6331 0.5359
Mg 0.3888 0.2751 0.7545
Mg 0.2558 0.3229 0.3732
Mg 0.4346 0.8079 0.7047
Mg 0.4881 0.0277 0.0865
Mg 0.1979 0.8433 0.4478
Mg 0.0137 0.0371 0.6027
Mg 0.5371 0.5523 0.1204
Mg 0.7854 0.3619 0.4259

Results
ρ: 2.36 g/cm³
M_tot: 0.00 μB per cell

---

Of them, (A) has the highest stability.

---

(A)
## Mg5Si9 (PBE-GGA)

Data for a relaxed structure of Mg5Si9.

Cell lengths 5.4821, 7.6458, 13.1373 Å; angles 90.96, 78.38, 74.30 degrees
Fractional coordinates of all 28 atoms:
Mg 0.0410 0.8694 0.7479
Mg 0.4228 0.1538 0.2776
Mg 0.2103 0.0274 0.4854
Mg 0.1140 0.4933 0.0570
Mg 0.6923 0.9157 0.5815
Mg 0.6844 0.5588 0.6804
Mg 0.1117 0.1607 0.8988
Mg 0.0525 0.5172 0.4408
Mg 0.5996 0.2961 0.4913
Mg 0.5469 0.7727 0.1072
Si 0.2055 0.5617 0.6256
Si 0.6674 0.0169 0.9269
Si 0.5019 0.8882 0.7942
Si 0.9613 0.7921 0.2279
Si 0.5899 0.2916 0.8328
Si 0.3217 0.1253 0.0805
Si 0.0151 0.9164 0.0576
Si 0.8380 0.1920 0.6591
Si 0.3256 0.5360 0.2419
Si 0.1607 0.4992 0.8253
Si 0.9018 0.3049 0.2197
Si 0.5140 0.6739 0.4867
Si 0.6186 0.3209 0.0954
Si 0.6702 0.6129 0.2996
Si 0.2544 0.2408 0.6628
Si 0.9233 0.0601 0.3364
Si 0.3230 0.7092 0.9193
Si 0.7317 0.4929 0.9408

Results
ρ: 2.40 g/cm³
M_tot: 0.00 μB per cell

---

(B)
## Mg5Si9 (PBE-GGA)

Data for a relaxed structure of Mg5Si9.

Cell lengths 6.8741, 7.2500, 12.6068 Å; angles 86.11, 101.26, 117.31 degrees
Fractional coordinates of all 28 atoms:
Mg 0.7701 0.1224 0.5240
Mg 0.6042 0.7350 0.8720
Mg 0.4468 0.1817 0.8596
Mg 0.4979 0.9737 0.2721
Mg 0.9928 0.6207 0.4564
Mg 0.1661 0.0269 0.5815
Mg 0.8495 0.2012 0.1047
Mg 0.6183 0.4162 0.6395
Mg 0.5063 0.6474 0.4502
Mg 0.4951 0.4122 0.0603
Si 0.1890 0.2076 0.2954
Si 0.1466 0.5224 0.2738
Si 0.2331 0.4232 0.7578
Si 0.9226 0.2572 0.8515
Si 0.7514 0.4093 0.2543
Si 0.1015 0.9543 0.1464
Si 0.1099 0.0890 0.9693
Si 0.6006 0.0360 0.7157
Si 0.8953 0.9436 0.3781
Si 0.2229 0.7495 0.7229
Si 0.8640 0.5006 0.9476
Si 0.1962 0.4066 0.5680
Si 0.0263 0.8123 0.8443
Si 0.7657 0.7483 0.2114
Si 0.7925 0.8300 0.6787
Si 0.5511 0.3066 0.4036
Si 0.1611 0.6624 0.0984
Si 0.5234 0.8036 0.0626

Results
ρ: 2.27 g/cm³
M_tot: 0.00 μB per cell

---

(C)
## Mg5Si9 (PBE-GGA)

Data for a relaxed structure of Mg5Si9.

Cell lengths 5.7826, 7.3095, 14.1226 Å; angles 82.97, 90.30, 64.27 degrees
Fractional coordinates of all 28 atoms:
Si 0.3946 0.8472 0.3938
Si 0.0954 0.0154 0.2429
Si 0.6047 0.5195 0.3262
Si 0.6840 0.3534 0.0414
Si 0.7849 0.0312 0.5775
Si 0.8210 0.1922 0.7112
Si 0.4803 0.8932 0.8027
Si 0.0116 0.4705 0.0379
Si 0.0297 0.5050 0.3107
Si 0.2153 0.2918 0.1916
Si 0.3316 0.9306 0.9611
Si 0.6403 0.2874 0.2091
Si 0.5432 0.5736 0.7331
Si 0.8914 0.0145 0.9936
Si 0.7033 0.8020 0.0673
Si 0.2089 0.2323 0.7211
Si 0.1491 0.3731 0.5557
Si 0.8529 0.9352 0.8362
Mg 0.3002 0.5810 0.9019
Mg 0.0162 0.6621 0.6939
Mg 0.4664 0.2092 0.4129
Mg 0.9792 0.1921 0.4304
Mg 0.9769 0.7476 0.4522
Mg 0.5776 0.4862 0.5436
Mg 0.2603 0.6977 0.1367
Mg 0.9508 0.3394 0.8748
Mg 0.3574 0.9298 0.5980
Mg 0.6730 0.8868 0.2423

Results
ρ: 2.33 g/cm³
M_tot: 0.00 μB per cell

---

Of them, (B) has the highest stability.